A geometry-optimized Na2MgCd2 structure. Source: the Alexandria database, functional PBE.

```
data_Na2MgCd2
_chemical_formula_sum 'Na4 Mg2 Cd4'
_space_group_name_H-M_alt 'I m m m'
_space_group_IT_number 71
_space_group_name_Hall '-I 2 2'
_cell_length_a 3.633
_cell_length_b 7.409
_cell_length_c 10.383
_cell_angle_alpha 90.00
_cell_angle_beta 90.00
_cell_angle_gamma 90.00
loop_
_atom_site_label
_atom_site_type_symbol
_atom_site_fract_x
_atom_site_fract_y
_atom_site_fract_z
_atom_site_occupancy
Na1 Na 0.000 0.000 0.227 1
Mg1 Mg 0.000 0.500 0.000 1
Cd1 Cd 0.000 0.305 0.500 1
```

Values from the calculation:
**DFT total energy**: -6.1 eV per formula unit
**Calculated volume**: 279 Å³ per cell
**Distance to the lowest polymorph of the same formula**: 39 meV/atom
**Fermi-level density of states**: 0.49 states/eV/atom



A geometry-optimized Pu2ThZn2Ge2 structure. Source: the Alexandria database, functional PBE.

```
data_Pu2ThZn2Ge2
_chemical_formula_sum 'Pu6 Th3 Zn6 Ge6'
_space_group_name_H-M_alt 'R -3 m'
_space_group_IT_number 166
_space_group_name_Hall '-R 3 2"'
_cell_length_a 4.0791
_cell_length_b 4.0791
_cell_length_c 28.0037
_cell_angle_alpha 90.00
_cell_angle_beta 90.00
_cell_angle_gamma 120.00
loop_
_atom_site_label
_atom_site_type_symbol
_atom_site_fract_x
_atom_site_fract_y
_atom_site_fract_z
_atom_site_occupancy
Pu1 Pu 0.0000 0.0000 0.1522 1
Th1 Th 0.0000 0.0000 0.0000 1
Zn1 Zn 0.0000 0.0000 0.4136 1
Ge1 Ge 0.0000 0.0000 0.2590 1
```

Values from the calculation:
**DFT total energy**: -49.1 eV per formula unit
**Calculated volume**: 404 Å³ per cell
**Fermi-level density of states**: 1.00 states/eV/atom



A geometry-optimized LiB2H structure. Source: the Alexandria database, functional PBE.

```
data_LiB2H
_chemical_formula_sum 'Li2 B4 H2'
_space_group_name_H-M_alt 'P 1'
_space_group_IT_number 1
_cell_length_a 2.957
_cell_length_b 4.432
_cell_length_c 5.402
_cell_angle_alpha 109.39
_cell_angle_beta 90.48
_cell_angle_gamma 109.20
loop_
_space_group_symop_operation_xyz
'x,y,z'
loop_
_atom_site_label
_atom_site_type_symbol
_atom_site_fract_x
_atom_site_fract_y
_atom_site_fract_z
_atom_site_occupancy
Li1 Li 0.000 0.000 0.000 1
Li2 Li 0.196 0.382 0.737 1
B1 B 0.337 0.669 0.199 1
B2 B 0.566 0.123 0.320 1
B3 B 0.725 0.443 0.176 1
B4 B 0.938 0.868 0.378 1
H1 H 0.668 0.332 0.550 1
H2 H 0.962 0.905 0.622 1
```

Values from the calculation:
**DFT total energy**: -18.8 eV per formula unit
**Calculated volume**: 63 Å³ per cell
**Distance to the lowest polymorph of the same formula**: 156 meV/atom
**Fermi-level density of states**: 0.12 states/eV/atom



A geometry-optimized K2AgW structure. Source: the Alexandria database, functional PBE.

```
data_K2AgW
_chemical_formula_sum 'K4 Ag2 W2'
_space_group_name_H-M_alt 'C m m m'
_space_group_IT_number 65
_space_group_name_Hall '-C 2 2'
_cell_length_a 3.314
_cell_length_b 4.777
_cell_length_c 11.899
_cell_angle_alpha 90.00
_cell_angle_beta 90.00
_cell_angle_gamma 90.00
loop_
_atom_site_label
_atom_site_type_symbol
_atom_site_fract_x
_atom_site_fract_y
_atom_site_fract_z
_atom_site_occupancy
K1 K 0.000 0.000 0.250 1
Ag1 Ag 0.000 0.500 0.000 1
W1 W 0.000 0.500 0.500 1
```

Values from the calculation:
**DFT total energy**: -13.6 eV per formula unit
**Calculated volume**: 188 Å³ per cell
**Distance to the lowest polymorph of the same formula**: 74 meV/atom
**Fermi-level density of states**: 0.77 states/eV/atom



A geometry-optimized Zr2CdSe structure. Source: the Alexandria database, functional PBE.

```
data_Zr2CdSe
_chemical_formula_sum 'Zr4 Cd2 Se2'
_space_group_name_H-M_alt 'C 1 2/m 1'
_space_group_IT_number 12
_cell_length_a 6.348
_cell_length_b 7.760
_cell_length_c 3.359
_cell_angle_alpha 90.00
_cell_angle_beta 90.35
_cell_angle_gamma 90.00
loop_
_space_group_symop_operation_xyz
'x,y,z'
'-x,-y,-z'
'-x,y,-z'
'x,-y,z'
'x+1/2,y+1/2,z'
'-x+1/2,-y+1/2,-z'
'-x+1/2,y+1/2,-z'
'x+1/2,-y+1/2,z'
loop_
_atom_site_label
_atom_site_type_symbol
_atom_site_fract_x
_atom_site_fract_y
_atom_site_fract_z
_atom_site_occupancy
Zr1 Zr 0.250 0.250 0.000 1
Cd1 Cd 0.000 0.000 0.500 1
Se1 Se 0.000 0.500 0.500 1
```

Values from the calculation:
**ΔE_f (raw)**: -155 kJ/mol of formula units
**DFT total energy**: -23.1 eV per formula unit
**Calculated volume**: 165 Å³ per cell
**Distance to the lowest polymorph of the same formula**: 140 meV/atom
**Fermi-level density of states**: 0.47 states/eV/atom



A geometry-optimized Th3Ge2Rh6 structure. Source: the Alexandria database, functional PBE.

```
data_Th3Ge2Rh6
_chemical_formula_sum 'Th12 Ge8 Rh24'
_space_group_name_H-M_alt 'I m -3 m'
_space_group_IT_number 229
_space_group_name_Hall '-I 4 2 3'
_cell_length_a 9.428
_cell_length_b 9.428
_cell_length_c 9.428
_cell_angle_alpha 90.00
_cell_angle_beta 90.00
_cell_angle_gamma 90.00
loop_
_atom_site_label
_atom_site_type_symbol
_atom_site_fract_x
_atom_site_fract_y
_atom_site_fract_z
_atom_site_occupancy
Th1 Th 0.000 0.000 0.285 1
Ge1 Ge 0.250 0.250 0.250 1
Rh1 Rh 0.000 0.348 0.348 1
```

Values from the calculation:
**DFT total energy**: -84.7 eV per formula unit
**Calculated volume**: 838 Å³ per cell
**Fermi-level density of states**: 0.37 states/eV/atom